Computed, not measured: a relaxed CrP4C2O2 crystal at the PBE with a Hubbard U level of DFT.

Cell and atoms, written as extended XYZ:
```
18
Lattice="-5.9763 -3.3116 -3.3987 5.9584 -4.3773 1.8899 -5.3410 -8.7968 10.2804" Properties=species:S:1:pos:R:3 pbc="T T T"
O -1.0630 -4.9923 3.1278
O -4.2960 -11.4933 5.6437
O -0.3487 -7.2089 1.0693
O -5.0102 -9.2767 7.7022
P -2.2643 -2.7566 -0.3172
P -6.9023 -9.0308 3.7914
P 1.5433 -7.4549 4.9801
P -1.3499 -7.4751 6.4116
P -4.0090 -9.0105 2.3599
P -3.0947 -13.7290 9.0887
P 3.1014 -5.2872 1.9008
P -8.4604 -11.1985 6.8708
Cr -9.1165 -9.9865 4.6951
Cr 3.7575 -6.4992 4.0764
C -4.3882 -8.3133 7.7933
C -3.9609 -12.5422 5.9768
C -1.3981 -3.9434 2.7947
C -0.9708 -8.1724 0.9782
```

Output
Total moment, μB/f.u.: 4.04
E, eV/atom: -6.248